DFT (PBE) results for a geometry-optimized Th5FeSb2 structure.

Computed properties:
formation energy (no corrections)	-0.292	eV/atom
total DFT energy (no corrections)	-7.018	eV per atom
excess energy over the best structure of this formula in the dataset	0.2274	eV per atom

Lattice parameters (Å, degrees): 6.7832 6.7832 6.7832 112.60 112.60 103.38
Last column: nearest neighbours and their distance in Å.
Sites, in units of the cell vectors:
Th  0.0000  0.0000  0.0000  1 Fe 2.51
Th  0.4634  0.4634  0.5078  1 Fe 2.62
Th  0.4634  0.9556  0.0000  1 Fe 2.62
Th  0.9556  0.4634  0.0000  1 Fe 2.62
Th  0.9556  0.9556  0.4922  1 Fe 2.62
Fe  0.7012  0.7012  0.0000  5 Th 2.51-2.62
Sb  0.4628  0.9628  0.5000  10 Th 3.37-3.78
Sb  0.9628  0.4628  0.5000  10 Th 3.37-3.78